Tl4PtCl5 after structural relaxation, computed with GGA-PBE.

## Properties
The raw formation energy comes out at -0.65 eV per atom.

Lattice parameters (Å, degrees): 9.6434 9.6434 6.6495 90.00 90.00 90.00
Closest atoms and distances in Å follow each position.
Space group I4 (No. 79)
Unique sites:
1 Tl 0.0836 0.7005 0.0000 x8  4 Cl 3.00-3.36
2 Pt 0.0000 0.0000 0.4967 x2  4 Cl 2.48
3 Cl 0.0000 0.0000 0.9954 x2  4 Tl 3.00, 2 Pt 3.32-3.33
4 Cl 0.0960 0.7615 0.4968 x8  1 Pt 2.48